(1)
## TaMoP3 (PBE-GGA)

Data for an optimized crystal structure of TaMoP3.

Cell lengths 4.6250, 4.6250, 4.6250 Å; angles 90.00, 90.00, 90.00 degrees
With the nearest neighbours (Å) after each atom.
Atoms (fractional coordinates):
Ta 0.0000 0.0000 0.0000  12 P 3.27
Mo 0.5000 0.5000 0.5000  6 P 2.31
P 0.0000 0.5000 0.5000  2 Mo 2.31
P 0.5000 0.0000 0.5000  2 Mo 2.31
P 0.5000 0.5000 0.0000  2 Mo 2.31

Computed properties:
energy relative to the lowest polymorph listed for this composition = 121 meV per atom
energy of formation from the pure elements = 1.017 eV/atom
M_tot = 2.5 μB per formula unit
mass density = 6.2 Mg/m³

***

(2)
## TaMoP2 (PBE-GGA)

Data for an optimized crystal structure of TaMoP2.

Cell lengths 4.3302, 4.3302, 4.3302 Å; angles 60.00, 60.00, 60.00 degrees
With the nearest neighbours (Å) after each atom.
Atoms (fractional coordinates):
Ta 0.0000 0.0000 0.0000  8 P 2.65
Mo 0.5000 0.5000 0.5000  8 P 2.65
P 0.2500 0.2500 0.2500  4 Ta 2.65, 4 Mo 2.65
P 0.7500 0.7500 0.7500  4 Ta 2.65, 4 Mo 2.65

Computed properties:
energy relative to the lowest polymorph listed for this composition = 207 meV per atom
energy of formation from the pure elements = -0.394 eV/atom
M_tot = 0.0 μB per formula unit
mass density = 9.8 Mg/m³

***

(3)
## Ta2MoP (PBE-GGA)

Data for an optimized crystal structure of Ta2MoP.

Cell lengths 2.9155, 2.9155, 7.7075 Å; angles 90.00, 90.00, 90.00 degrees
With the nearest neighbours (Å) after each atom.
Atoms (fractional coordinates):
Ta 0.0000 0.0000 0.2060  4 P 2.60
Ta 0.0000 0.0000 0.7940  4 P 2.60
Mo 0.5000 0.5000 0.5000  4 Mo 2.92, 8 Ta 3.06
P 0.5000 0.5000 0.0000  8 Ta 2.60

Computed properties:
energy of formation from the pure elements = 0.011 eV/atom
M_tot = 0.0 μB per formula unit
mass density = 12.4 Mg/m³

***

(4)
## TaMoP2 (PBE-GGA)

Data for an optimized crystal structure of TaMoP2.

Cell lengths 5.5682, 5.5682, 5.5682 Å; angles 148.33, 136.16, 55.09 degrees
With the nearest neighbours (Å) after each atom.
Atoms (fractional coordinates):
Ta 0.0000 0.0000 0.0000  6 P 2.58-2.62
Mo 0.2819 0.7819 0.5000  6 P 2.48-2.58
P 0.4801 0.4801 0.0000  2 Mo 2.48, 4 Ta 2.58
P 0.7841 0.2841 0.5000  4 Mo 2.58, 2 Ta 2.62, 2 P 2.84

Computed properties:
energy relative to the lowest polymorph listed for this composition = 319 meV per atom
energy of formation from the pure elements = -0.281 eV/atom
M_tot = 0.0 μB per formula unit
mass density = 9.0 Mg/m³

***

(5)
## TaMo2P (PBE-GGA)

Data for an optimized crystal structure of TaMo2P.

Cell lengths 2.8706, 2.8706, 8.0469 Å; angles 90.00, 90.00, 109.06 degrees
With the nearest neighbours (Å) after each atom.
Atoms (fractional coordinates):
Ta 0.0000 0.0000 0.0000  2 P 2.51, 2 Mo 2.77
Mo 0.0000 0.0000 0.5430  2 P 2.46, 2 Mo 2.72
Mo 0.5000 0.5000 0.2751  6 Mo 2.72-2.87, 2 Ta 2.77
P 0.5000 0.5000 0.7673  2 Mo 2.46, 2 Ta 2.51

Computed properties:
energy of formation from the pure elements = -0.094 eV/atom
M_tot = 0.0 μB per formula unit
mass density = 10.7 Mg/m³

***

(6)
## Ta2MoP (PBE-GGA)

Data for an optimized crystal structure of Ta2MoP.

Cell lengths 2.9178, 2.9178, 8.1493 Å; angles 90.00, 90.00, 109.78 degrees
With the nearest neighbours (Å) after each atom.
Atoms (fractional coordinates):
Ta 0.0000 0.0000 0.0000  2 P 2.49
Ta 0.5000 0.5000 0.2833  2 Mo 2.78, 6 Ta 2.85-2.92
Mo 0.0000 0.0000 0.5550  2 P 2.45
P 0.5000 0.5000 0.7742  2 Mo 2.45, 2 Ta 2.49

Computed properties:
energy of formation from the pure elements = -0.196 eV/atom
M_tot = 0.0 μB per formula unit
mass density = 12.4 Mg/m³

***

(7)
## TaMo2P (PBE-GGA)

Data for an optimized crystal structure of TaMo2P.

Cell lengths 5.2829, 5.2829, 5.2829 Å; angles 139.35, 139.35, 58.85 degrees
With the nearest neighbours (Å) after each atom.
Atoms (fractional coordinates):
Ta 0.0000 0.0000 0.0000  4 P 2.60
Mo 0.2500 0.7500 0.5000  4 Mo 2.60
Mo 0.7500 0.2500 0.5000  4 Mo 2.60
P 0.5000 0.5000 0.0000  4 Ta 2.60

Computed properties:
energy of formation from the pure elements = -0.093 eV/atom
M_tot = 0.0 μB per formula unit
mass density = 10.8 Mg/m³

***

(8)
## TaMoP3 (PBE-GGA)

Data for an optimized crystal structure of TaMoP3.

Cell lengths 4.7763, 4.7763, 4.7763 Å; angles 90.00, 90.00, 90.00 degrees
With the nearest neighbours (Å) after each atom.
Atoms (fractional coordinates):
Ta 0.0000 0.0000 0.0000  6 P 2.39
Mo 0.5000 0.5000 0.5000  12 P 3.38
P 0.0000 0.0000 0.5000  2 Ta 2.39
P 0.0000 0.5000 0.0000  2 Ta 2.39
P 0.5000 0.0000 0.0000  2 Ta 2.39

Computed properties:
energy relative to the lowest polymorph listed for this composition = 0 meV per atom
energy of formation from the pure elements = 0.896 eV/atom
M_tot = 3.2 μB per formula unit
mass density = 5.6 Mg/m³

***

(9)
## TaMo2P (PBE-GGA)

Data for an optimized crystal structure of TaMo2P.

Cell lengths 7.7090, 7.7090, 7.7090 Å; angles 23.72, 23.72, 23.72 degrees
With the nearest neighbours (Å) after each atom.
Atoms (fractional coordinates):
Ta 0.0000 0.0000 0.0000  6 Mo 2.80
Mo 0.2390 0.2390 0.2390  3 P 2.45
Mo 0.7610 0.7610 0.7610  3 P 2.45
P 0.5000 0.5000 0.5000  6 Mo 2.45

Computed properties:
energy of formation from the pure elements = -0.019 eV/atom
M_tot = 0.0 μB per formula unit
mass density = 10.3 Mg/m³

***

(10)
## TaMo2P (PBE-GGA)

Data for an optimized crystal structure of TaMo2P.

Cell lengths 4.4301, 4.4301, 4.4301 Å; angles 60.00, 60.00, 60.00 degrees
With the nearest neighbours (Å) after each atom.
Atoms (fractional coordinates):
Ta 0.0000 0.0000 0.0000  4 Mo 2.71, 4 P 2.71
Mo 0.5000 0.5000 0.5000  4 P 2.71, 4 Mo 2.71
Mo 0.7500 0.7500 0.7500  4 Mo 2.71, 4 Ta 2.71
P 0.2500 0.2500 0.2500  4 Mo 2.71, 4 Ta 2.71

Computed properties:
energy of formation from the pure elements = 0.130 eV/atom
M_tot = 0.0 μB per formula unit
mass density = 10.9 Mg/m³

***

(11)
## Ta2MoP (PBE-GGA)

Data for an optimized crystal structure of Ta2MoP.

Cell lengths 5.3513, 5.3513, 5.3513 Å; angles 139.38, 139.38, 58.80 degrees
With the nearest neighbours (Å) after each atom.
Atoms (fractional coordinates):
Ta 0.0000 0.0000 0.0000  4 P 2.63
Ta 0.7500 0.2500 0.5000  4 Mo 2.63
Mo 0.2500 0.7500 0.5000  4 Ta 2.63
P 0.5000 0.5000 0.0000  4 Ta 2.63

Computed properties:
energy of formation from the pure elements = -0.101 eV/atom
M_tot = 0.0 μB per formula unit
mass density = 12.6 Mg/m³

***

(12)
## Ta2MoP (PBE-GGA)

Data for an optimized crystal structure of Ta2MoP.

Cell lengths 2.9099, 2.9099, 8.1537 Å; angles 90.00, 90.00, 109.55 degrees
With the nearest neighbours (Å) after each atom.
Atoms (fractional coordinates):
Ta 0.0000 0.0000 0.2301  2 P 2.52, 2 Mo 2.77
Ta 0.0000 0.0000 0.7699  2 P 2.52, 2 Mo 2.77
Mo 0.5000 0.5000 0.5000  4 Ta 2.77, 4 Mo 2.91
P 0.5000 0.5000 0.0000  4 Ta 2.52

Computed properties:
energy of formation from the pure elements = -0.252 eV/atom
M_tot = 0.0 μB per formula unit
mass density = 12.5 Mg/m³

***

(13)
## TaMoP2 (PBE-GGA)

Data for an optimized crystal structure of TaMoP2.

Cell lengths 4.6508, 4.6508, 4.3976 Å; angles 102.92, 102.92, 39.87 degrees
With the nearest neighbours (Å) after each atom.
Atoms (fractional coordinates):
Ta 0.0000 0.0000 0.0000  7 P 2.53-2.73
Mo 0.7788 0.7788 0.3975  7 P 2.49-2.78
P 0.2681 0.2681 0.8741  3 Ta 2.53, 4 Mo 2.65-2.78
P 0.5051 0.5051 0.5074  3 Mo 2.49-2.55, 4 Ta 2.69-2.73

Computed properties:
energy relative to the lowest polymorph listed for this composition = 82 meV per atom
energy of formation from the pure elements = -0.518 eV/atom
M_tot = 0.0 μB per formula unit
mass density = 9.5 Mg/m³

***

(14)
## TaMoP2 (PBE-GGA)

Data for an optimized crystal structure of TaMoP2.

Cell lengths 3.9848, 3.9848, 5.4796 Å; angles 102.82, 102.82, 46.56 degrees
With the nearest neighbours (Å) after each atom.
Atoms (fractional coordinates):
Ta 0.0000 0.0000 0.0000  6 P 2.60-2.61
Mo 0.5000 0.5000 0.5000  6 P 2.47-2.50
P 0.2481 0.2481 0.7298  3 Mo 2.47-2.50, 3 Ta 2.60-2.61
P 0.7519 0.7519 0.2702  3 Mo 2.47-2.50, 3 Ta 2.60-2.61

Computed properties:
energy relative to the lowest polymorph listed for this composition = 362 meV per atom
energy of formation from the pure elements = -0.239 eV/atom
M_tot = 0.0 μB per formula unit
mass density = 9.2 Mg/m³

***

(15)
## TaMo2P (PBE-GGA)

Data for an optimized crystal structure of TaMo2P.

Cell lengths 7.7067, 7.7067, 7.7067 Å; angles 23.78, 23.78, 23.78 degrees
With the nearest neighbours (Å) after each atom.
Atoms (fractional coordinates):
Ta 0.0000 0.0000 0.0000  3 P 2.55, 3 Mo 2.72
Mo 0.2437 0.2437 0.2437  3 Ta 2.72, 3 Mo 2.78
Mo 0.4842 0.4842 0.4842  3 P 2.44
P 0.7457 0.7457 0.7457  3 Mo 2.44, 3 Ta 2.55

Computed properties:
energy of formation from the pure elements = 0.016 eV/atom
M_tot = 0.0 μB per formula unit
mass density = 10.3 Mg/m³

***

(16)
## TaMo2P (PBE-GGA)

Data for an optimized crystal structure of TaMo2P.

Cell lengths 2.8459, 4.4382, 5.1289 Å; angles 90.00, 103.97, 90.00 degrees
With the nearest neighbours (Å) after each atom.
Atoms (fractional coordinates):
Ta 0.0000 0.0000 0.0000  2 P 2.56, 4 Mo 2.79, 2 Ta 2.85
Mo 0.4947 0.5000 0.2587  2 Mo 2.47-2.66
Mo 0.5053 0.5000 0.7413  2 Mo 2.47-2.66
P 0.0000 0.0000 0.5000  2 Ta 2.56, 4 Mo 2.77, 2 P 2.85

Computed properties:
energy of formation from the pure elements = 0.025 eV/atom
M_tot = 0.0 μB per formula unit
mass density = 10.7 Mg/m³

***

(17)
## TaMoP2 (PBE-GGA)

Data for an optimized crystal structure of TaMoP2.

Cell lengths 6.9660, 6.9660, 6.9660 Å; angles 135.11, 135.11, 65.36 degrees
With the nearest neighbours (Å) after each atom.
Atoms (fractional coordinates):
Ta 0.0000 0.0000 0.0000  4 P 2.42
Ta 0.7500 0.2500 0.5000  4 P 2.42
Mo 0.2500 0.7500 0.5000  4 P 2.35
Mo 0.5000 0.5000 0.0000  4 P 2.35
P 0.1376 0.6250 0.0126  2 Mo 2.35, 2 Ta 2.42
P 0.3750 0.3876 0.5126  2 Mo 2.35, 2 Ta 2.42
P 0.6124 0.1250 0.9874  2 Mo 2.35, 2 Ta 2.42
P 0.8750 0.8624 0.4874  2 Mo 2.35, 2 Ta 2.42

Computed properties:
energy relative to the lowest polymorph listed for this composition = 765 meV per atom
energy of formation from the pure elements = 0.165 eV/atom
M_tot = 1.2 μB per formula unit
mass density = 6.8 Mg/m³

***

(18)
## Ta2MoP (PBE-GGA)

Data for an optimized crystal structure of Ta2MoP.

Cell lengths 7.7042, 7.7042, 7.7042 Å; angles 24.31, 24.31, 24.31 degrees
With the nearest neighbours (Å) after each atom.
Atoms (fractional coordinates):
Ta 0.0000 0.0000 0.0000  3 Mo 2.82, 3 Ta 2.88
Ta 0.2358 0.2358 0.2358  3 P 2.49
Mo 0.7607 0.7607 0.7607  3 P 2.42
P 0.4958 0.4958 0.4958  3 Mo 2.42, 3 Ta 2.49

Computed properties:
energy of formation from the pure elements = -0.109 eV/atom
M_tot = 0.0 μB per formula unit
mass density = 11.9 Mg/m³

***

(19)
## TaMo2P (PBE-GGA)

Data for an optimized crystal structure of TaMo2P.

Cell lengths 5.2280, 5.2280, 5.2280 Å; angles 144.23, 132.52, 60.84 degrees
With the nearest neighbours (Å) after each atom.
Atoms (fractional coordinates):
Ta 0.0000 0.0000 0.0000  6 Mo 2.65-2.83, 2 P 2.81
Mo 0.4894 0.4894 0.0000  2 P 2.65, 4 Ta 2.65, 2 Mo 2.79
Mo 0.7418 0.2418 0.5000  4 P 2.65, 2 Mo 2.79, 2 Ta 2.83
P 0.2562 0.7562 0.5000  6 Mo 2.65, 2 Ta 2.81

Computed properties:
energy of formation from the pure elements = -0.142 eV/atom
M_tot = 0.0 μB per formula unit
mass density = 11.0 Mg/m³

***

(20)
## TaMoP2 (PBE-GGA)

Data for an optimized crystal structure of TaMoP2.

Cell lengths 4.2545, 4.6422, 4.6422 Å; angles 39.93, 90.00, 90.00 degrees
With the nearest neighbours (Å) after each atom.
Atoms (fractional coordinates):
Ta 0.0000 0.0000 0.0000  7 P 2.42-2.67
Mo 0.5000 0.7425 0.7425  7 P 2.44-2.67
P 0.0000 0.2774 0.2774  3 Ta 2.42-2.51, 4 Mo 2.67, 2 P 2.68
P 0.5000 0.4633 0.4633  3 Mo 2.44-2.50, 4 Ta 2.67, 2 P 2.68

Computed properties:
energy relative to the lowest polymorph listed for this composition = 106 meV per atom
energy of formation from the pure elements = -0.494 eV/atom
M_tot = 0.0 μB per formula unit
mass density = 9.6 Mg/m³